No. 1
First-principles (GGA-PBE) data for a relaxed structure of Ba5InGa2, as listed in Alexandria.

## Properties
Its density of states at the Fermi level is 20.92 states/eV/cell. The calculation puts the formation energy at -0.304 eV/atom. Its total energy is -41.7 eV/cell. The value obtained for the size of the total moment is 0.33 Bohr magnetons per cell. The theoretical density is 4.57 g cm⁻³.

Geometry as CIF:
```
data_Ba5InGa2
_chemical_formula_sum 'Ba10 In2 Ga4'
_cell_length_a 8.8177
_cell_length_b 8.8177
_cell_length_c 10.7807
_cell_angle_alpha 114.14
_cell_angle_beta 114.14
_cell_angle_gamma 90.00
_space_group_name_H-M_alt 'P 1'
_space_group_IT_number 1
loop_
_space_group_symop_operation_xyz
'x,y,z'
loop_
_atom_site_label
_atom_site_fract_x
_atom_site_fract_y
_atom_site_fract_z
_atom_site_occupancy
Ba1 0.0000 0.0000 0.0000 1
Ba2 0.0389 0.5389 0.7152 1
Ga1 0.6015 0.1015 0.0000 1
Ba3 0.5000 0.5000 0.0000 1
Ga2 0.8985 0.6015 0.0000 1
Ba4 0.6763 0.1763 0.7152 1
In1 0.2500 0.2500 0.5000 1
Ba5 0.9611 0.4611 0.2848 1
Ba6 0.1763 0.0389 0.7152 1
Ga3 0.3985 0.8985 0.0000 1
Ba7 0.3237 0.8237 0.2848 1
In2 0.7500 0.7500 0.5000 1
Ba8 0.4611 0.3237 0.2848 1
Ga4 0.1015 0.3985 0.0000 1
Ba9 0.5389 0.6763 0.7152 1
Ba10 0.8237 0.9611 0.2848 1
```

***

No. 2
First-principles (GGA-PBE) data for a relaxed structure of BaInGa4, as listed in Alexandria.

## Properties
Its density of states at the Fermi level is 1.81 states/eV/cell. The calculation puts the formation energy at -0.162 eV/atom. Its total energy is -17.7 eV/cell. The value obtained for the size of the total moment is 0.00 Bohr magnetons per cell. The energy above the most stable polymorph in this dataset is 117 meV/atom. The theoretical density is 5.98 g cm⁻³.

Geometry as CIF:
```
data_BaInGa4
_chemical_formula_sum 'Ba1 In1 Ga4'
_cell_length_a 5.9285
_cell_length_b 5.9285
_cell_length_c 5.9285
_cell_angle_alpha 60.00
_cell_angle_beta 60.00
_cell_angle_gamma 60.00
_space_group_name_H-M_alt 'P 1'
_space_group_IT_number 1
loop_
_space_group_symop_operation_xyz
'x,y,z'
loop_
_atom_site_label
_atom_site_fract_x
_atom_site_fract_y
_atom_site_fract_z
_atom_site_occupancy
In1 0.0000 0.0000 0.0000 1
Ga1 0.1240 0.6253 0.6253 1
Ga2 0.6253 0.6253 0.6253 1
Ga3 0.6253 0.6253 0.1240 1
Ba1 0.2500 0.2500 0.2500 1
Ga4 0.6253 0.1240 0.6253 1
```

***

What is the size of the total moment in the second record? 0.00 Bohr magnetons per cell

***

Copy entry 2 word for word.
First-principles (GGA-PBE) data for a relaxed structure of BaInGa4, as listed in Alexandria.

## Properties
Its density of states at the Fermi level is 1.81 states/eV/cell. The calculation puts the formation energy at -0.162 eV/atom. Its total energy is -17.7 eV/cell. The value obtained for the size of the total moment is 0.00 Bohr magnetons per cell. The energy above the most stable polymorph in this dataset is 117 meV/atom. The theoretical density is 5.98 g cm⁻³.

Geometry as CIF:
```
data_BaInGa4
_chemical_formula_sum 'Ba1 In1 Ga4'
_cell_length_a 5.9285
_cell_length_b 5.9285
_cell_length_c 5.9285
_cell_angle_alpha 60.00
_cell_angle_beta 60.00
_cell_angle_gamma 60.00
_space_group_name_H-M_alt 'P 1'
_space_group_IT_number 1
loop_
_space_group_symop_operation_xyz
'x,y,z'
loop_
_atom_site_label
_atom_site_fract_x
_atom_site_fract_y
_atom_site_fract_z
_atom_site_occupancy
In1 0.0000 0.0000 0.0000 1
Ga1 0.1240 0.6253 0.6253 1
Ga2 0.6253 0.6253 0.6253 1
Ga3 0.6253 0.6253 0.1240 1
Ba1 0.2500 0.2500 0.2500 1
Ga4 0.6253 0.1240 0.6253 1
```